[1]
DFT (PBE) results for a relaxed structure of TlInRh2Pb.

Unit cell a=5.0838 b=5.7163 c=5.0838 alpha=90.00 beta=90.00 gamma=90.00
Sites, in units of the cell vectors:
Pb: 0.0000 0.0000 0.0000
Tl: 0.0000 0.5000 0.0000
Rh: 0.0000 0.0000 0.5000
Rh: 0.5000 0.0000 0.0000
In: 0.5000 0.5000 0.5000

Output
Its energy of formation is 0.960 eV/atom.


[2]
DFT (PBE) results for a relaxed structure of Li2LaHIr.

Unit cell a=4.0260 b=4.0260 c=5.0101 alpha=90.00 beta=90.00 gamma=90.00
Sites, in units of the cell vectors:
H: 0.0000 0.0000 0.0000
Ir: 0.5000 0.5000 0.5000
Li: 0.0000 0.5000 0.0000
Li: 0.5000 0.0000 0.0000
La: 0.0000 0.0000 0.5000


[3]
DFT (PBE) results for a relaxed structure of BiTePd.

Unit cell a=4.1811 b=7.1038 c=5.4115 alpha=92.25 beta=90.00 gamma=90.00
Sites, in units of the cell vectors:
Bi: 0.7500 0.9058 0.2556
Bi: 0.2500 0.0942 0.7444
Te: 0.7500 0.6046 0.7693
Te: 0.2500 0.3954 0.2307
Pd: 0.7500 0.2689 0.4921
Pd: 0.2500 0.7311 0.5079

Output
Its uncorrected formation energy is -26.5 kJ/mol of atoms. For the polymorph energy (0 for the lowest one), the calculation gives 0.066 eV/atom.


[4]
DFT (PBE) results for a relaxed structure of Sm4Ir2Rh.

Unit cell a=4.9186 b=4.9186 c=8.5403 alpha=73.26 beta=73.26 gamma=60.00
Sites, in units of the cell vectors:
Sm: 0.8744 0.8744 0.3767
Sm: 0.1256 0.1256 0.6233
Sm: 0.6240 0.6240 0.1280
Sm: 0.3760 0.3760 0.8720
Ir: 0.7502 0.7502 0.7494
Ir: 0.2498 0.2498 0.2506
Rh: 0.0000 0.0000 0.0000

Output
Its energy of formation is -0.700 eV/atom.


[5]
DFT (PBE) results for a relaxed structure of RbTaBe3.

Unit cell a=4.4067 b=4.4067 c=4.4067 alpha=90.00 beta=90.00 gamma=90.00
Sites, in units of the cell vectors:
Be: 0.0000 0.5000 0.0000
Be: 0.0000 0.0000 0.5000
Be: 0.5000 0.0000 0.0000
Rb: 0.0000 0.0000 0.0000
Ta: 0.5000 0.5000 0.5000

Output
Its energy of formation is 2.643 eV/atom. For the polymorph energy (0 for the lowest one), the calculation gives 1.173 eV/atom.


[6]
DFT (PBE) results for a relaxed structure of BaCaMgPb.

Unit cell a=5.8288 b=5.8288 c=5.8288 alpha=60.00 beta=60.00 gamma=60.00
Sites, in units of the cell vectors:
Pb: 0.5000 0.5000 0.5000
Ca: 0.7500 0.7500 0.7500
Mg: 0.0000 0.0000 0.0000
Ba: 0.2500 0.2500 0.2500

Output
Its energy of formation is -0.350 eV/atom.


[7]
DFT (PBE) results for a relaxed structure of Nd2HoZn2In2.

Unit cell a=4.7214 b=4.7214 c=9.7681 alpha=76.01 beta=76.01 gamma=60.00
Sites, in units of the cell vectors:
Nd: 0.1263 0.1263 0.6210
Nd: 0.8737 0.8737 0.3790
Ho: 0.0000 0.0000 0.0000
Zn: 0.6092 0.6092 0.1724
Zn: 0.3908 0.3908 0.8276
In: 0.7319 0.7319 0.8043
In: 0.2681 0.2681 0.1957

Output
Its energy of formation is -0.293 eV/atom.


[8]
DFT (PBE) results for a relaxed structure of PIBr2.

Unit cell a=6.0044 b=5.2754 c=7.3727 alpha=65.59 beta=63.05 gamma=81.66
Sites, in units of the cell vectors:
P: 0.1164 0.0550 0.5280
I: 0.7035 0.2027 0.5284
Br: 0.3018 0.9306 0.2368
Br: 0.0154 0.6411 0.8186

Output
Its uncorrected formation energy is -23.7 kJ/mol of atoms. For the polymorph energy (0 for the lowest one), the calculation gives 0.000 eV/atom.


[9]
DFT (PBE) results for a relaxed structure of YMgCd.

Unit cell a=4.3753 b=4.3753 c=8.0930 alpha=90.00 beta=90.00 gamma=90.00
Last column: magnetic moment on the atom in μB.
Sites, in units of the cell vectors:
Y: 0.0000 0.5000 0.8541  0.08
Y: 0.5000 0.0000 0.1459  0.08
Cd: 0.0000 0.5000 0.2483  0.00
Cd: 0.5000 0.0000 0.7517  0.00
Mg: 0.5000 0.5000 0.5000  0.00
Mg: 0.0000 0.0000 0.5000  0.00

Output
Its energy of formation is -0.209 eV/atom.


[10]
DFT (PBE) results for a relaxed structure of AcSm6Tm8.

Unit cell a=8.5650 b=8.5650 c=9.7852 alpha=64.05 beta=64.05 gamma=60.00
Sites, in units of the cell vectors:
Ac: 0.0000 0.0000 0.0000
Sm: 0.8444 0.6490 0.1657
Sm: 0.6591 0.1556 0.8343
Sm: 0.3510 0.6591 0.8343
Sm: 0.6490 0.3409 0.1657
Sm: 0.3409 0.8444 0.1657
Sm: 0.1556 0.3510 0.8343
Tm: 0.7871 0.5729 0.5873
Tm: 0.9474 0.2129 0.4127
Tm: 0.4271 0.9474 0.4127
Tm: 0.2906 0.2906 0.1282
Tm: 0.7094 0.7094 0.8718
Tm: 0.5729 0.0526 0.5873
Tm: 0.0526 0.7871 0.5873
Tm: 0.2129 0.4271 0.4127

Output
Its energy of formation is 0.461 eV/atom.


[11]
DFT (PBE) results for a relaxed structure of KMnPd2.

Unit cell a=7.6166 b=7.6166 c=6.1648 alpha=51.85 beta=51.85 gamma=90.00
Last column: magnetic moment on the atom in μB.
Sites, in units of the cell vectors:
K: 0.5000 0.5000 0.0000  0.01
K: 0.2500 0.7500 0.5000  0.01
Mn: 0.0000 0.0000 0.0000  4.01
Mn: 0.7500 0.2500 0.5000  4.00
Pd: 0.6780 0.1250 0.2500  0.19
Pd: 0.0720 0.6250 0.2500  0.19
Pd: 0.3750 0.3220 0.7500  0.19
Pd: 0.8750 0.9280 0.7500  0.20

Output
Its energy of formation is 0.376 eV/atom. For the polymorph energy (0 for the lowest one), the calculation gives 0.013 eV/atom.


[12]
DFT (PBE) results for a relaxed structure of ZnSi2Rh.

Unit cell a=7.9448 b=7.9448 c=7.9448 alpha=21.34 beta=21.34 gamma=21.34
Sites, in units of the cell vectors:
Rh: 0.7500 0.7500 0.7500
Si: 0.0056 0.0056 0.0056
Si: 0.4944 0.4944 0.4944
Zn: 0.2500 0.2500 0.2500

Output
Its uncorrected formation energy is -18.3 kJ/mol of atoms.


So what do the calculations give for total magnetic moment? Going down the list: 0.00 0.00 0.00 0.00 0.00 0.00 0.00 0.00 0.20 0.00 4.66 0.00 μB/f.u..
So what do the calculations give for total energy? Going down the list: -18.7 -23.0 -26.1 -48.9 -10.8 -10.6 -24.2 -11.3 -19.2 -61.3 -38.3 -20.2 eV/cell.
So what do the calculations give for density of states at the Fermi level? Going down the list: 1.053 0.280 0.584 0.386 0.344 0.321 0.553 0.000 1.011 1.653 0.447 0.612 states/eV/atom.